# GaHg2SbCl4 | the Alexandria database | SCAN | PBEsol geometry
data_GaHg2SbCl4
_symmetry_space_group_name_H-M 'P n a 21'
_symmetry_Int_Tables_number 33
_cell_length_a 17.630
_cell_length_b 8.763
_cell_length_c 12.108
_cell_angle_alpha 90.00
_cell_angle_beta 90.00
_cell_angle_gamma 90.00
loop_
_symmetry_equiv_pos_as_xyz
'x,y,z'
'-x,-y,z+1/2'
'-x+1/2,y+1/2,z+1/2'
'x+1/2,-y+1/2,z'
loop_
_atom_site_label
_atom_site_fract_x
_atom_site_fract_y
_atom_site_fract_z
_atom_site_occupancy
Ga1 0.118 0.163 0.000 1
Ga2 0.134 0.656 0.718 1
Hg1 0.005 0.260 0.602 1
Hg2 0.120 0.924 0.365 1
Hg3 0.128 0.422 0.338 1
Hg4 0.245 0.711 0.102 1
Sb1 0.120 0.685 0.225 1
Sb2 0.128 0.187 0.480 1
Cl1 0.049 0.682 0.848 1
Cl2 0.053 0.072 0.140 1
Cl3 0.054 0.127 0.848 1
Cl4 0.075 0.608 0.562 1
Cl5 0.136 0.404 0.031 1
Cl6 0.204 0.860 0.704 1
Cl7 0.206 0.461 0.763 1
Cl8 0.225 0.038 0.985 1
# - Crystal system: orthorhombic
# - Total magnetization: 0.0 μB/f.u.
# - Uncorrected energy: -1829.1 eV/cell
# - Formation energy without anion corrections: -0.85 eV per atom